The following is a meta-GGA SCAN calculation of MgHg2Pb at its PBEsol-relaxed geometry, from Alexandria.

Properties
M_tot, μB per formula unit: 0.00
Uncorrected energy, eV for the cell shown: -217.33
ΔH_f (0 K), eV/f.u.: -0.24
SG: No. 119

a b c (Å): 5.7366 5.7366 5.7366
angles (deg): 134.27 134.27 66.66
Closest atoms and distances in Å follow each position.
Atoms (fractional coordinates):
Mg 0.0000 0.0000 0.0000  8 Hg 3.15-3.27, 4 Pb 3.27
Hg 0.2500 0.7500 0.5000  4 Pb 3.15, 4 Hg 3.27, 4 Mg 3.27
Hg 0.5000 0.5000 0.0000  4 Mg 3.15, 4 Hg 3.27, 4 Pb 3.27
Pb 0.7500 0.2500 0.5000  8 Hg 3.15-3.27, 4 Mg 3.27